1.
The following is a DFT calculation (PBE-GGA) of a relaxed U3Fe9SiB2 crystal.

Unit cell a=5.3414 b=5.3414 c=8.0810 alpha=90.00 beta=90.00 gamma=120.00
Closest atoms and distances in Å follow each position.
Space group P-3m1 (No. 164)
Inequivalent atoms, fractional coordinates:
U1 0.0000 0.0000 0.0000 (multiplicity 1)  12 Fe 2.67-2.78
U2 0.3333 0.6667 0.6704 (multiplicity 2)  6 Fe 2.69
Fe1 0.0000 0.5000 0.0000 (multiplicity 3)  2 B 1.95
Fe2 0.1646 0.3292 0.2871 (multiplicity 6)  1 B 1.92
Si1 0.0000 0.0000 0.5000 (multiplicity 1)  6 Fe 2.30
B1 0.3333 0.6667 0.1477 (multiplicity 2)  6 Fe 1.92-1.95

Calculated values
As for the density of states at the Fermi level: 1.053 states/eV per atom. The uncorrected formation energy comes out at -125.5 meV/atom. The final energy is -8.713 eV/atom.


2.
The following is a DFT calculation (PBE-GGA) of a relaxed Fe5SiB2W2 crystal.

Unit cell a=8.6587 b=8.6587 c=2.7648 alpha=90.00 beta=90.00 gamma=90.00
Closest atoms and distances in Å follow each position.
Space group P4/mbm (No. 127)
Inequivalent atoms, fractional coordinates:
Fe1 0.0000 0.5000 0.0000 (multiplicity 2)  4 B 2.04
Fe2 0.0640 0.2128 0.0000 (multiplicity 8)  2 B 2.05
Si1 0.0000 0.0000 0.5000 (multiplicity 2)  8 Fe 2.37
B1 0.1229 0.3771 0.5000 (multiplicity 4)  6 Fe 2.04-2.05
W1 0.1778 0.6778 0.5000 (multiplicity 4)  3 B 2.44-2.65, 10 Fe 2.58-2.68

Calculated values
As for the density of states at the Fermi level: 0.388 states/eV per atom. The uncorrected formation energy comes out at -379.4 meV/atom. The final energy is -9.079 eV/atom.


3.
The following is a DFT calculation (PBE-GGA) of a relaxed YFe2Si2B crystal.

Unit cell a=3.8836 b=3.8836 c=5.2144 alpha=90.00 beta=90.00 gamma=90.00
Closest atoms and distances in Å follow each position.
Space group P4/mmm (No. 123)
Inequivalent atoms, fractional coordinates:
Y1 0.0000 0.0000 0.0000 (multiplicity 1)  2 B 2.61
Fe1 0.0000 0.5000 0.5000 (multiplicity 2)  2 B 1.94
Si1 0.5000 0.5000 0.2318 (multiplicity 2)  4 Fe 2.39, 1 Si 2.42
B1 0.0000 0.0000 0.5000 (multiplicity 1)  4 Fe 1.94

Calculated values
As for the density of states at the Fermi level: 0.448 states/eV per atom. The uncorrected formation energy comes out at -586.2 meV/atom. The final energy is -7.405 eV/atom.


4.
The following is a DFT calculation (PBE-GGA) of a relaxed SmFeB crystal.

Unit cell a=6.3899 b=3.6877 c=8.9642 alpha=90.00 beta=103.83 gamma=90.00
Closest atoms and distances in Å follow each position.
Space group C2/m (No. 12)
Inequivalent atoms, fractional coordinates:
Sm1 0.2330 0.0000 0.2013 (multiplicity 4)  3 B 2.74, 1 Fe 2.94
Fe1 0.1534 0.5000 0.4607 (multiplicity 4)  6 B 2.20-2.45, 3 Fe 2.24
B1 0.0339 0.0000 0.6006 (multiplicity 4)  1 B 1.75

Calculated values
As for the density of states at the Fermi level: 0.660 states/eV per atom. For the formation energy, the calculation gives -0.205 eV per atom. The final energy is -6.825 eV/atom. As for the offset from the most stable computed form: 0.111 eV/atom.


5.
The following is a DFT calculation (PBE-GGA) of a relaxed SmFe10B2 crystal.

Unit cell a=8.2138 b=9.2561 c=7.8832 alpha=90.00 beta=90.00 gamma=90.00
Closest atoms and distances in Å follow each position.
Space group Cmcm (No. 63)
Inequivalent atoms, fractional coordinates:
Sm1 0.0000 0.1136 0.2500 (multiplicity 4)  14 Fe 2.77-2.98
Fe1 0.0000 0.1704 0.5944 (multiplicity 8)  2 B 2.30, 4 Fe 2.42-2.46
Fe2 0.0000 0.3882 0.0754 (multiplicity 8)  6 Fe 2.39-2.48, 2 B 2.49
Fe3 0.1421 0.3855 0.7500 (multiplicity 8)  7 Fe 2.33-2.61, 2 B 2.50
Fe4 0.2351 0.0000 0.0000 (multiplicity 8)  2 B 2.32, 6 Fe 2.40-2.48
Fe5 0.2425 0.3538 0.2500 (multiplicity 8)  2 B 2.19, 7 Fe 2.40-2.46
B1 0.2500 0.2500 0.0000 (multiplicity 8)  6 Fe 2.19-2.32

Calculated values
As for the density of states at the Fermi level: 0.892 states/eV per atom. For the formation energy, the calculation gives -0.017 eV per atom. The final energy is -7.917 eV/atom.


6.
The following is a DFT calculation (PBE-GGA) of a relaxed Sm3Fe2B9 crystal.

Unit cell a=3.1245 b=7.8660 c=13.5319 alpha=90.00 beta=90.00 gamma=90.00
Closest atoms and distances in Å follow each position.
Space group Immm (No. 71)
Inequivalent atoms, fractional coordinates:
Sm1 0.0000 0.0000 0.0000 (multiplicity 2)  12 B 2.66-2.83
Sm2 0.0000 0.0000 0.2616 (multiplicity 4)  12 B 2.76-2.91
Fe1 0.0000 0.1598 0.5000 (multiplicity 4)  4 B 2.01-2.03
B1 0.0000 0.2719 0.1164 (multiplicity 8)  2 B 1.66
B2 0.0000 0.2955 0.3721 (multiplicity 8)  2 B 1.66
B3 0.0000 0.5000 0.0000 (multiplicity 2)  4 Fe 2.01

Calculated values
As for the density of states at the Fermi level: 0.534 states/eV per atom. For the formation energy, the calculation gives -0.224 eV per atom. The final energy is -6.736 eV/atom.


7.
The following is a DFT calculation (PBE-GGA) of a relaxed SmFe5B3 crystal.

Unit cell a=3.3579 b=11.3059 c=10.7748 alpha=90.00 beta=90.00 gamma=90.00
Closest atoms and distances in Å follow each position.
Space group Cmcm (No. 63)
Inequivalent atoms, fractional coordinates:
Sm1 0.0000 0.1621 0.2500 (multiplicity 4)  6 B 2.83-2.99, 4 Fe 3.09
Fe1 0.0000 0.0000 0.0000 (multiplicity 4)  4 B 2.21, 6 Fe 2.31-2.36
Fe2 0.0000 0.1963 0.5600 (multiplicity 8)  4 B 2.08-2.22, 1 Fe 2.31
Fe3 0.0000 0.4463 0.1432 (multiplicity 8)  4 B 2.14-2.24, 3 Fe 2.30-2.36
B1 0.0000 0.1195 0.7500 (multiplicity 4)  6 Fe 2.17-2.22
B2 0.0000 0.3799 0.5428 (multiplicity 8)  7 Fe 2.08-2.24

Calculated values
As for the density of states at the Fermi level: 0.709 states/eV per atom. For the formation energy, the calculation gives -0.218 eV per atom. The final energy is -7.670 eV/atom.


8.
The following is a DFT calculation (PBE-GGA) of a relaxed SmFeB crystal.

Unit cell a=3.5679 b=3.5679 c=4.1504 alpha=90.00 beta=90.00 gamma=120.00
Closest atoms and distances in Å follow each position.
Space group P-6m2 (No. 187)
Inequivalent atoms, fractional coordinates:
Sm1 0.0000 0.0000 0.0000 (multiplicity 1)  6 Fe 2.92, 6 B 2.92
Fe1 0.6667 0.3333 0.5000 (multiplicity 1)  3 B 2.06
B1 0.3333 0.6667 0.5000 (multiplicity 1)  3 Fe 2.06

Calculated values
As for the density of states at the Fermi level: 0.676 states/eV per atom. For the formation energy, the calculation gives -0.116 eV per atom. The final energy is -6.736 eV/atom. As for the offset from the most stable computed form: 0.200 eV/atom.